The following is a PBE-GGA calculation of BaLi3Zn after structural relaxation, from Alexandria.

Geometry as POSCAR:
```
BaLi3Zn
1.0
6.898 0.000 0.000
0.000 6.898 0.000
0.000 0.000 6.898
Ba Li Zn
1 3 1
Direct
0.000 0.000 0.000 Ba
0.500 0.000 0.000 Li
0.000 0.500 0.000 Li
0.000 0.000 0.500 Li
0.500 0.500 0.500 Zn
```

## Properties
size of the total moment = 0.237 μB per atom
energy of formation = 1.02 eV per atom
SG = No. 221
energy above the lowest structure with this stoichiometry = 1055 meV per atom

=====

The following is a PBE-GGA calculation of KHoTi2O6 after structural relaxation, from Alexandria.

Geometry as POSCAR:
```
KHoTi2O6
1.0
-4.489 -3.276 3.095
3.548 -3.021 6.025
-3.054 4.965 4.903
O K Ti Ho
12 2 4 2
Direct
0.379 0.814 0.388 O
0.208 0.998 0.740 O
0.621 0.186 0.612 O
0.879 0.388 0.814 O
0.353 0.300 0.384 O
0.647 0.700 0.616 O
0.121 0.612 0.186 O
0.292 0.260 0.002 O
0.708 0.740 0.998 O
0.792 0.002 0.260 O
0.147 0.616 0.700 O
0.853 0.384 0.300 O
0.250 0.906 0.094 K
0.750 0.094 0.906 K
0.667 0.217 0.377 Ti
0.333 0.783 0.623 Ti
0.167 0.377 0.217 Ti
0.833 0.623 0.783 Ti
0.750 0.723 0.277 Ho
0.250 0.277 0.723 Ho
```

## Properties
size of the total moment = 0.000 μB per atom
SG = No. 15
formation energy from raw total energies = -2870 kJ/mol of formula units

=====

The following is a PBE-GGA calculation of CaGa2Hg8 after structural relaxation, from Alexandria.

Geometry as POSCAR:
```
CaGa2Hg8
1.0
-1.064 -1.513 -4.385
-5.023 -5.232 3.035
-4.155 6.558 -1.243
Hg Ga Ca
8 2 1
Direct
0.002 0.039 0.315 Hg
0.499 0.670 0.670 Hg
0.501 0.330 0.330 Hg
0.998 0.685 0.961 Hg
0.500 0.741 0.259 Hg
0.002 0.315 0.039 Hg
0.500 0.259 0.741 Hg
0.998 0.961 0.685 Hg
0.000 0.390 0.610 Ga
0.000 0.610 0.390 Ga
0.500 0.000 0.000 Ca
```

## Properties
size of the total moment = 0.000 μB per atom
energy of formation = -0.10 eV per atom
SG = No. 12

=====

The following is a PBE-GGA calculation of ScPaGaRe after structural relaxation, from Alexandria.

Geometry as POSCAR:
```
ScPaGaRe
1.0
4.833 0.000 0.000
2.417 4.186 0.000
2.417 1.395 3.946
Sc Ga Pa Re
1 1 1 1
Direct
0.250 0.250 0.250 Sc
0.000 0.000 0.000 Ga
0.750 0.750 0.750 Pa
0.500 0.500 0.500 Re
```

## Properties
size of the total moment = 0.000 μB per atom
energy of formation = -0.17 eV per atom
SG = No. 216